(1)
Below is K2NdSb3Pt4 after structural relaxation, with properties calculated at the PBE level.

Unit cell a=4.759 b=4.759 c=11.089 alpha=90.00 beta=90.00 gamma=90.00
Sites, in units of the cell vectors:
K: 0.500 0.000 0.232
K: 0.000 0.500 0.768
Pt: 0.000 0.500 0.356
Pt: 0.000 0.000 0.000
Pt: 0.500 0.500 0.000
Pt: 0.500 0.000 0.644
Sb: 0.000 0.000 0.500
Sb: 0.000 0.500 0.117
Sb: 0.500 0.000 0.883
Nd: 0.500 0.500 0.500

(2)
Below is K4Nd3PuS8 after structural relaxation, with properties calculated at the PBE level.

Unit cell a=8.371 b=8.817 c=8.371 alpha=118.34 beta=120.00 gamma=90.00
Site moments in Bohr magnetons follow the coordinates.
Sites, in units of the cell vectors:
Pu: 0.000 0.500 0.000  5.01
S: 0.233 0.705 0.972  -0.03
S: 0.264 0.291 0.528  0.00
S: 0.767 0.295 0.028  -0.03
S: 0.233 0.705 0.466  -0.03
S: 0.261 0.295 0.028  -0.03
S: 0.736 0.709 0.472  0.00
S: 0.767 0.295 0.534  -0.03
S: 0.739 0.705 0.972  -0.03
Nd: 0.500 0.500 0.000  0.01
Nd: 0.000 0.500 0.500  0.01
Nd: 0.500 0.500 0.500  0.01
K: 0.500 0.000 0.500  0.00
K: 0.000 0.000 0.500  0.00
K: 0.500 0.000 0.000  0.00
K: 0.000 0.000 0.000  0.00

(3)
Below is KNdPu2S4 after structural relaxation, with properties calculated at the PBE level.

Unit cell a=4.058 b=7.121 c=7.121 alpha=71.12 beta=90.00 gamma=90.00
Site moments in Bohr magnetons follow the coordinates.
Sites, in units of the cell vectors:
S: 0.000 0.236 0.246  -0.07
S: 0.500 0.775 0.230  -0.08
S: 0.000 0.764 0.754  -0.07
S: 0.500 0.225 0.770  -0.08
K: 0.000 0.500 0.500  0.01
Pu: 0.000 0.000 0.000  5.25
Pu: 0.500 0.000 0.500  5.43
Nd: 0.500 0.500 0.000  0.14

(4)
Below is K3Nd3PuS8 after structural relaxation, with properties calculated at the PBE level.

Unit cell a=8.306 b=8.306 c=8.884 alpha=117.89 beta=90.00 gamma=120.00
Site moments in Bohr magnetons follow the coordinates.
Sites, in units of the cell vectors:
K: 0.500 0.500 0.000  0.00
K: 0.000 0.000 0.000  0.00
K: 0.000 0.500 0.000  0.00
S: 0.776 0.028 0.304  -0.07
S: 0.776 0.551 0.304  -0.07
S: 0.264 0.529 0.293  0.00
S: 0.224 0.449 0.696  -0.07
S: 0.748 0.972 0.696  -0.07
S: 0.224 0.972 0.696  -0.07
S: 0.252 0.028 0.304  -0.07
S: 0.736 0.471 0.707  0.00
Nd: 0.500 0.000 0.500  0.00
Nd: 0.500 0.500 0.500  0.00
Nd: 0.000 0.500 0.500  0.00
Pu: 0.000 0.000 0.500  4.50

What did we get for E_form (uncorrected)? Answer: -0.58, -1.77, -1.72, -1.75 eV per atom, in the order shown.